Entry 1:
An optimized crystal structure of Mg3Zn3Pd2Au, computed with PBE.

Cell: 7.632 7.632 2.948 Å, 90.00 90.00 120.00°
Atoms (fractional coordinates):
1 Mg 0.000 0.302 0.000
2 Mg 0.302 0.000 0.000
3 Mg 0.698 0.698 0.000
4 Zn 0.000 0.626 0.500
5 Zn 0.374 0.374 0.500
6 Zn 0.626 0.000 0.500
7 Pd 0.333 0.667 0.000
8 Pd 0.667 0.333 0.000
9 Au 0.000 0.000 0.500

As for the crystal system: hexagonal. The calculation puts the total energy at -2.886 eV/atom. As for the formation energy from the elements: -3.71 eV/f.u. The value obtained for the total moment is 0.00 μB/f.u.

***

Entry 2:
An optimized crystal structure of KCaY2, computed with PBE.

Cell: 7.454 7.454 3.575 Å, 101.21 101.21 121.89°
Atoms (fractional coordinates):
1 K 0.000 0.000 0.000
2 Ca 0.500 0.500 0.000
3 Y 0.000 0.500 0.500
4 Y 0.500 0.000 0.500

As for the crystal system: monoclinic. The calculation puts the total energy at -3.619 eV/atom. As for the formation energy from the elements: 1.55 eV/f.u. The value obtained for the total moment is 0.00 μB/f.u.

***

Which value of formation energy from the elements does entry 2 give? 1.55 eV/f.u.

***

Number 1 is which compound? Mg3Zn3Pd2Au

***

The highest formation energy from the elements belongs to which entry? KCaY2